# TlPd2S

A relaxed structure of TlPd2S (PBE, Alexandria).

Calculated values
**Space group**: R3m, No. 160
**Energy above the lowest structure with this stoichiometry**: 0.144 eV per atom
**E_tot**: -17.0 eV for the cell shown
**Total moment**: 0.00 Bohr magnetons per cell
**Formation energy without anion corrections**: -42 meV/atom
**Fermi-level density of states**: 1.6 states/eV/f.u.

Lattice parameters (Å, degrees): 3.923 3.923 6.198 71.55 71.55 60.00
Fractional positions:
Tl1 0.497 0.497 0.508
S1 0.672 0.672 0.984
Pd1 0.065 0.065 0.804
Pd2 0.265 0.265 0.204



# In3GaPb3

A relaxed structure of In3GaPb3 (PBE, Alexandria).

Calculated values
**Formation energy**: 0.047 eV/atom
**Space group**: P6_3/m, No. 176
**Energy above the lowest structure with this stoichiometry**: 0.000 eV per atom
**E_tot**: -44.1 eV for the cell shown
**Total moment**: 0.00 Bohr magnetons per cell
**Fermi-level density of states**: 3.0 states/eV/f.u.

Lattice parameters (Å, degrees): 5.528 9.097 9.098 120.00 90.00 90.00
Fractional positions:
In1 0.750 0.185 0.236
In2 0.250 0.949 0.185
In3 0.250 0.815 0.764
In4 0.250 0.236 0.051
In5 0.750 0.764 0.949
In6 0.750 0.051 0.815
Pb1 0.250 0.523 0.904
Pb2 0.250 0.381 0.477
Pb3 0.750 0.904 0.381
Pb4 0.750 0.477 0.096
Pb5 0.250 0.096 0.619
Pb6 0.750 0.619 0.523
Ga1 0.750 0.333 0.667
Ga2 0.250 0.667 0.333



# TmZnRu

A relaxed structure of TmZnRu (PBE, Alexandria).

Calculated values
**Formation energy**: -0.403 eV/atom
**Space group**: Imma, No. 74
**E_tot**: -32.5 eV for the cell shown
**Total moment**: 0.00 Bohr magnetons per cell
**Fermi-level density of states**: 3.0 states/eV/f.u.

Lattice parameters (Å, degrees): 5.311 5.311 5.311 90.31 121.20 118.46
Fractional positions:
Ru1 0.000 0.500 0.500
Ru2 0.500 0.000 0.500
Zn1 0.000 0.500 0.000
Zn2 0.500 0.500 0.500
Tm1 0.750 0.882 0.132
Tm2 0.250 0.118 0.868



# Na3B2PO5F4

A relaxed structure of Na3B2PO5F4 (PBE, Alexandria).

Calculated values
**Space group**: Ama2, No. 40
**E_tot**: -187.3 eV for the cell shown
**Total moment**: 0.12 Bohr magnetons per cell
**Formation energy without anion corrections**: -2578 meV/atom
**Fermi-level density of states**: 0.0 states/eV/f.u.

Lattice parameters (Å, degrees): 7.089 7.089 9.117 90.00 90.00 122.31
Fractional positions:
O1 0.139 0.485 0.393
O2 0.877 0.064 0.750
O3 0.515 0.861 0.607
O4 0.361 0.363 0.250
O5 0.164 0.956 0.250
O6 0.139 0.485 0.107
O7 0.515 0.861 0.893
O8 0.936 0.123 0.250
O9 0.637 0.639 0.750
O10 0.044 0.836 0.750
Na1 0.483 0.517 0.500
Na2 0.191 0.809 0.000
Na3 0.191 0.809 0.500
Na4 0.802 0.198 0.000
Na5 0.483 0.517 0.000
Na6 0.802 0.198 0.500
P1 0.142 0.377 0.250
P2 0.623 0.858 0.750
F1 0.211 0.177 0.878
F2 0.823 0.497 0.878
F3 0.503 0.177 0.378
F4 0.823 0.789 0.378
F5 0.823 0.789 0.122
F6 0.211 0.177 0.622
F7 0.503 0.177 0.122
F8 0.823 0.497 0.622
B1 0.372 0.162 0.250
B2 0.944 0.918 0.250
B3 0.082 0.056 0.750
B4 0.838 0.628 0.750



# In5Co4

A relaxed structure of In5Co4 (PBE, Alexandria).

Calculated values
**Formation energy**: 0.385 eV/atom
**Space group**: I4/mmm, No. 139
**Energy above the lowest structure with this stoichiometry**: 0.139 eV per atom
**E_tot**: -38.6 eV for the cell shown
**Total moment**: 5.81 Bohr magnetons per cell
**Fermi-level density of states**: 11.0 states/eV/f.u.

Lattice parameters (Å, degrees): 6.468 6.468 6.468 96.28 96.28 141.38
Fractional positions:
Co1 0.367 0.000 0.367
Co2 0.000 0.367 0.367
Co3 0.633 0.000 0.633
Co4 0.000 0.633 0.633
In1 0.324 0.324 0.649
In2 0.324 0.676 0.000
In3 0.676 0.324 0.000
In4 0.676 0.676 0.351
In5 0.000 0.000 0.000



# MnAsBr2

A relaxed structure of MnAsBr2 (PBE, Alexandria).

Calculated values
**Space group**: P4/mmm, No. 123
**Energy above the lowest structure with this stoichiometry**: 0.413 eV per atom
**E_tot**: -16.4 eV for the cell shown
**Total moment**: 5.42 Bohr magnetons per cell
**Formation energy without anion corrections**: 185 meV/atom
**Fermi-level density of states**: 1.8 states/eV/f.u.

Lattice parameters (Å, degrees): 3.254 3.254 11.898 90.00 90.00 90.00
Fractional positions:
Mn1 0.500 0.500 0.250
Br1 0.000 0.000 0.110
Br2 0.000 0.000 0.390
As1 0.500 0.500 0.750



What is the Fermi-level density of states in the fourth record?
0.0 states/eV/f.u.